Entry 1:
Ba2MgHg4 | PBE-GGA | optimized geometry

symmetry	I4/mmm, No. 139

a = 9.5830 Å, b = 9.5830 Å, c = 9.5830 Å
α = 147.41°, β = 147.41°, γ = 46.75°
Last column: nearest neighbours and their distance in Å.
Fractional coordinates of all 7 atoms:
Ba  0.1349  0.1349  0.0000  9 Hg 3.49-3.84
Ba  0.8651  0.8651  0.0000  9 Hg 3.49-3.84
Mg  0.5000  0.5000  0.0000  6 Hg 2.69-2.93
Hg  0.0000  0.5000  0.5000  2 Mg 2.69
Hg  0.3334  0.3334  0.0000  1 Mg 2.93
Hg  0.5000  0.0000  0.5000  2 Mg 2.69
Hg  0.6666  0.6666  0.0000  1 Mg 2.93

Entry 2:
Ba2Mg16Hg | PBE-GGA | optimized geometry

symmetry	R3m, No. 160

a = 8.0080 Å, b = 8.0080 Å, c = 8.0080 Å
α = 82.86°, β = 82.86°, γ = 82.86°
Last column: nearest neighbours and their distance in Å.
Fractional coordinates of all 19 atoms:
Ba  0.0000  0.0000  0.0000  19 Mg 3.76-4.12
Ba  0.3269  0.3269  0.3269  1 Hg 3.59, 12 Mg 3.76-3.91
Mg  0.0096  0.0096  0.5116  9 Mg 3.07-3.36
Mg  0.0096  0.5116  0.0096  9 Mg 3.07-3.36
Mg  0.1653  0.6629  0.6629  9 Mg 3.04-3.31, 1 Hg 3.19
Mg  0.3186  0.3186  0.8171  8 Mg 3.05-3.24, 1 Hg 3.26
Mg  0.3186  0.8171  0.3186  8 Mg 3.05-3.24, 1 Hg 3.26
Mg  0.3706  0.6638  0.9573  9 Mg 3.04-3.39
Mg  0.3706  0.9573  0.6638  9 Mg 3.04-3.39
Mg  0.5116  0.0096  0.0096  9 Mg 3.07-3.36
Mg  0.6629  0.1653  0.6629  9 Mg 3.04-3.31, 1 Hg 3.19
Mg  0.6629  0.6629  0.1653  9 Mg 3.04-3.31, 1 Hg 3.19
Mg  0.6638  0.3706  0.9573  9 Mg 3.04-3.39
Mg  0.6638  0.9573  0.3706  9 Mg 3.04-3.39
Mg  0.7518  0.7518  0.7518  1 Hg 2.99, 3 Mg 3.31
Mg  0.8171  0.3186  0.3186  8 Mg 3.05-3.24, 1 Hg 3.26
Mg  0.9573  0.3706  0.6638  9 Mg 3.04-3.39
Mg  0.9573  0.6638  0.3706  9 Mg 3.04-3.39
Hg  0.5588  0.5588  0.5588  7 Mg 2.99-3.26

Entry 3:
BaMg2Hg | PBE-GGA | optimized geometry

symmetry	P4/nmm, No. 129

a = 4.6446 Å, b = 4.6446 Å, c = 11.7460 Å
α = 90.00°, β = 90.00°, γ = 90.00°
Last column: nearest neighbours and their distance in Å.
Fractional coordinates of all 8 atoms:
Ba  0.2500  0.2500  0.2346  4 Hg 3.52, 9 Mg 3.61-3.89
Ba  0.7500  0.7500  0.7654  4 Hg 3.52, 9 Mg 3.61-3.89
Mg  0.2500  0.2500  0.9275  1 Hg 3.17
Mg  0.2500  0.7500  0.5000  4 Hg 2.97, 4 Mg 3.28
Mg  0.7500  0.2500  0.5000  4 Hg 2.97, 4 Mg 3.28
Mg  0.7500  0.7500  0.0725  1 Hg 3.17
Hg  0.2500  0.2500  0.6575  5 Mg 2.97-3.17
Hg  0.7500  0.7500  0.3425  5 Mg 2.97-3.17

Entry 4:
Ba2Mg9Hg6 | PBE-GGA | optimized geometry

symmetry	P6/mmm, No. 191

a = 6.4664 Å, b = 6.4664 Å, c = 13.5870 Å
α = 90.00°, β = 90.00°, γ = 120.00°
Last column: nearest neighbours and their distance in Å.
Fractional coordinates of all 17 atoms:
Ba  0.0000  0.0000  0.1666  6 Hg 3.73, 12 Mg 3.95-3.99
Ba  0.0000  0.0000  0.8334  6 Hg 3.73, 12 Mg 3.95-3.99
Mg  0.0000  0.5000  0.0000  4 Hg 2.96, 4 Mg 3.23
Mg  0.0000  0.5000  0.3381  4 Hg 2.89-2.96
Mg  0.0000  0.5000  0.6619  4 Hg 2.89-2.96
Mg  0.5000  0.0000  0.0000  4 Hg 2.96, 4 Mg 3.23
Mg  0.5000  0.0000  0.3381  4 Hg 2.89-2.96
Mg  0.5000  0.0000  0.6619  4 Hg 2.89-2.96
Mg  0.5000  0.5000  0.0000  4 Hg 2.96, 4 Mg 3.23
Mg  0.5000  0.5000  0.3381  4 Hg 2.89-2.96
Mg  0.5000  0.5000  0.6619  4 Hg 2.89-2.96
Hg  0.3333  0.6667  0.1690  6 Mg 2.96
Hg  0.3333  0.6667  0.5000  6 Mg 2.89
Hg  0.3333  0.6667  0.8310  6 Mg 2.96
Hg  0.6667  0.3333  0.1690  6 Mg 2.96
Hg  0.6667  0.3333  0.5000  6 Mg 2.89
Hg  0.6667  0.3333  0.8310  6 Mg 2.96

| no. | formation energy (kcal/mol of atoms) |
| --- | --- |
| 1 | -7.399 |
| 2 | -2.174 |
| 3 | -5.254 |
| 4 | -4.411 |